(1)
VASP calculation (PBE) on crystalline PmSm5Dy12 at its relaxed geometry.

```
18
Lattice="-8.138 -5.426 5.680 0.433 -10.101 2.232 2.755 1.255 5.146" Properties=species:S:1:pos:R:3 pbc="T T T"
Dy 0.079 -0.269 3.851
Dy -7.622 -12.035 7.381
Sm 0.310 -7.011 5.007
Sm -2.570 -5.173 2.637
Pm 0.000 0.000 0.000
Dy -2.898 -2.483 8.718
Sm -2.691 -2.085 5.413
Dy 2.672 -2.237 5.676
Dy -2.485 -1.688 2.107
Sm -5.260 -7.261 8.050
Dy -5.462 -3.902 6.974
Dy -2.484 -5.442 6.486
Dy 0.104 -3.656 3.934
Dy 0.100 -7.407 8.314
Dy -2.466 -8.829 6.571
Dy -5.054 -10.616 9.124
Dy -5.050 -6.865 4.743
Sm -5.135 -10.354 5.274
```

Output
* magnetic moment: 0.0000 μB/atom
* symmetry: C2/m
* formation energy: 0.11 eV per atom

***

(2)
VASP calculation (PBE) on crystalline Pm2Sm2Dy15 at its relaxed geometry.

```
19
Lattice="8.417 -0.570 2.281 1.596 8.284 2.281 -0.740 -0.570 8.689" Properties=species:S:1:pos:R:3 pbc="T T T"
Sm 3.019 2.326 4.314
Dy 4.208 -0.285 1.140
Pm 0.872 0.672 1.246
Dy 7.470 2.379 6.010
Dy 0.895 5.624 4.206
Dy 4.206 6.616 6.010
Dy 5.666 -0.570 4.206
Dy 2.011 -0.570 6.764
Dy 5.067 0.528 7.240
Dy 3.088 2.379 9.077
Dy 6.368 2.090 2.281
Pm 8.402 6.472 12.005
Sm 6.254 4.818 8.936
Dy 1.803 4.765 7.240
Dy 0.798 4.142 1.140
Dy -0.370 -0.285 4.344
Dy -0.038 2.090 6.764
Dy 3.645 5.624 2.281
Dy 6.185 4.765 4.173
```

Output
* magnetic moment: 0.0000 μB/atom
* symmetry: R-3m
* formation energy: 0.28 eV per atom

***

(3)
VASP calculation (PBE) on crystalline Pm4SmDy6 at its relaxed geometry.

```
11
Lattice="7.485 -2.926 -5.493 -5.173 8.026 1.896 -1.886 2.926 9.091" Properties=species:S:1:pos:R:3 pbc="T T T"
Pm -1.270 1.971 5.800
Dy 1.156 2.550 -1.799
Pm -2.312 8.981 7.421
Dy -3.835 5.950 8.161
Dy 3.438 0.260 -1.386
Pm 0.260 2.888 1.928
Dy -5.006 7.766 5.598
Dy 2.799 0.000 1.799
Sm 0.000 0.000 0.000
Pm -3.312 5.138 1.331
Dy -1.231 5.002 4.107
```

Output
* magnetic moment: 0.0000 μB/atom
* symmetry: I-42m
* offset from the most stable computed form: 0.0 meV/atom
* formation energy: 0.30 eV per atom

***

(4)
VASP calculation (PBE) on crystalline Pm2Sm5Dy4 at its relaxed geometry.

```
11
Lattice="3.527 0.000 0.000 0.000 9.152 0.000 -1.764 -4.576 11.735" Properties=species:S:1:pos:R:3 pbc="T T T"
Sm 0.000 7.339 3.383
Dy 0.000 6.308 0.000
Pm 0.000 0.000 6.302
Dy 1.764 4.576 2.268
Sm 1.764 0.000 0.000
Sm 1.764 2.762 8.352
Sm 0.000 1.814 3.383
Sm 1.764 -2.762 8.352
Dy 0.000 0.000 9.468
Pm 1.764 4.576 5.434
Dy 0.000 2.844 0.000
```

Output
* magnetic moment: 0.0000 μB/atom
* symmetry: Immm
* offset from the most stable computed form: 122.8 meV/atom
* formation energy: 0.19 eV per atom

***

- formation energy of number 4 (Pm2Sm5Dy4)?
  0.19 eV per atom

***

- Look up the formation energy of the first one.
  0.11 eV per atom

***

- Number 1 is which compound?
  PmSm5Dy12